First-principles (PBE) data for an optimized crystal structure of Er8Ni2Rh, as listed in the Alexandria database.

Cell lengths 5.7958, 7.4333, 7.4333 Å; angles 113.99, 99.89, 99.89 degrees
With the nearest neighbours (Å) after each atom.
Fractional coordinates of all 11 atoms:
Er1 0.5810 0.3407 0.0826  2 Ni 2.70-2.72
Er2 0.9899 0.7866 0.2188  1 Rh 2.79, 2 Ni 3.10-3.11
Ni1 0.4910 0.3091 0.6982  4 Er 2.70-2.73
Rh1 0.1169 0.0037 0.0037  6 Er 2.79-3.10
Er3 0.9899 0.2188 0.7866  1 Rh 2.79, 2 Ni 3.10-3.11
Ni2 0.4910 0.6982 0.3091  4 Er 2.70-2.73
Er4 0.3878 0.6653 0.9225  2 Ni 2.73
Er5 0.1700 0.3655 0.3655  1 Rh 2.85, 2 Ni 3.05
Er6 0.8135 0.6410 0.6410  1 Rh 2.91, 2 Ni 3.05
Er7 0.3878 0.9225 0.6653  2 Ni 2.73
Er8 0.5810 0.0826 0.3407  2 Ni 2.70-2.72

The space group is Cm. The polymorph energy (0 for the lowest one) is 0.0844 eV/atom. Its crystal system is monoclinic. Its formation energy is -0.25 eV per atom.

First-principles (PBE) data for an optimized crystal structure of DyY7Er12, as listed in the Alexandria database.

Cell lengths 8.6358, 8.6358, 8.6358 Å; angles 95.10, 95.10, 95.10 degrees
With the nearest neighbours (Å) after each atom.
Fractional coordinates of all 20 atoms:
Y1 0.9829 0.9176 0.6489  1 Dy 3.04, 2 Er 3.06-3.35, 1 Y 3.07
Er1 0.6825 0.8115 0.2511  3 Er 3.32-3.51, 3 Y 3.35-3.54
Er2 0.4153 0.4795 0.1465  2 Y 3.06, 2 Er 3.06-3.32
Er3 0.1465 0.4153 0.4795  2 Y 3.06, 2 Er 3.06-3.32
Er4 0.5847 0.5205 0.8535  2 Y 3.06, 2 Er 3.06-3.32
Y2 0.5000 0.5000 0.5000  6 Er 3.06
Y3 0.3511 0.0171 0.0824  1 Dy 3.04, 2 Er 3.06-3.35, 1 Y 3.07
Er5 0.8115 0.2511 0.6825  3 Er 3.32-3.51, 3 Y 3.35-3.54
Er6 0.8535 0.5847 0.5205  2 Y 3.06, 2 Er 3.06-3.32
Er7 0.3175 0.1885 0.7489  3 Er 3.32-3.51, 3 Y 3.35-3.54
Y4 0.0824 0.3511 0.0171  1 Dy 3.04, 2 Er 3.06-3.35, 1 Y 3.07
Y5 0.9176 0.6489 0.9829  1 Dy 3.04, 2 Er 3.06-3.35, 1 Y 3.07
Er8 0.4795 0.1465 0.4153  2 Y 3.06, 2 Er 3.06-3.32
Er9 0.5205 0.8535 0.5847  2 Y 3.06, 2 Er 3.06-3.32
Y6 0.0171 0.0824 0.3511  1 Dy 3.04, 2 Er 3.06-3.35, 1 Y 3.07
Y7 0.6489 0.9829 0.9176  1 Dy 3.04, 2 Er 3.06-3.35, 1 Y 3.07
Er10 0.7489 0.3175 0.1885  3 Er 3.32-3.51, 3 Y 3.35-3.54
Dy1 0.0000 0.0000 0.0000  6 Y 3.04
Er11 0.2511 0.6825 0.8115  3 Er 3.32-3.51, 3 Y 3.35-3.54
Er12 0.1885 0.7489 0.3175  3 Er 3.32-3.51, 3 Y 3.35-3.54

The space group is R-3. The polymorph energy (0 for the lowest one) is 0.0000 eV/atom. Its crystal system is trigonal. Its formation energy is 0.31 eV per atom.

First-principles (PBE) data for an optimized crystal structure of Ir2RhBr, as listed in the Alexandria database.

Cell lengths 4.5620, 4.5620, 6.6551 Å; angles 80.31, 80.31, 36.23 degrees
With the nearest neighbours (Å) after each atom.
Fractional coordinates of all 4 atoms:
Ir1 0.2901 0.2901 0.2353  5 Ir 2.57-2.84, 3 Rh 2.68-2.69
Ir2 0.0349 0.0349 0.0903  5 Ir 2.57-2.84, 2 Rh 2.61, 2 Br 2.64
Rh1 0.5427 0.5427 0.4177  1 Br 2.51, 5 Ir 2.61-2.69
Br1 0.6324 0.6324 0.7568  1 Rh 2.51, 2 Ir 2.64

The space group is Cm. The polymorph energy (0 for the lowest one) is 0.1232 eV/atom. For the formation energy without anion corrections, the calculation gives 226 kJ/mol of formula units. Its crystal system is monoclinic.

First-principles (PBE) data for an optimized crystal structure of KLa2Hg, as listed in the Alexandria database.

Cell lengths 3.9070, 5.8837, 6.0607 Å; angles 90.00, 90.00, 90.00 degrees
With the nearest neighbours (Å) after each atom.
Fractional coordinates of all 4 atoms:
La1 0.0000 0.0000 0.0000  6 La 3.53-3.91, 4 Hg 3.61
K1 0.0000 0.5000 0.5000  4 Hg 3.53, 4 La 3.61, 2 K 3.91
Hg1 0.5000 0.0000 0.5000  4 K 3.53, 4 La 3.61, 2 Hg 3.91
La2 0.5000 0.5000 0.0000  6 La 3.53-3.91, 4 K 3.61

The space group is Pmmm. Its crystal system is orthorhombic. Its formation energy is 0.11 eV per atom.